Entry 1:
The following is a PBE calculation of crystalline BaLuSn2 at its relaxed geometry, from Alexandria.

Output
- size of the total moment (μB/atom) = 0.000
- energy of formation (eV/atom) = -0.448

Cell: 5.0189 5.0189 7.0583 Å, 69.17 69.17 60.00°
With the nearest neighbours (Å) after each atom.
Sites, in units of the cell vectors:
1 Lu 0.0000 0.0000 0.0000  6 Sn 3.09
2 Ba 0.5000 0.5000 0.5000  6 Sn 3.60
3 Sn 0.2771 0.2771 0.1688  3 Lu 3.09
4 Sn 0.7229 0.7229 0.8312  3 Lu 3.09



Entry 2:
The following is a PBE calculation of crystalline CsTlFe3 at its relaxed geometry, from Alexandria.

Output
- size of the total moment (μB/atom) = 1.487
- distance to the lowest polymorph of the same formula (meV/atom) = 777
- energy of formation (eV/atom) = 2.348

Cell: 4.9244 4.9244 4.9244 Å, 90.00 90.00 90.00°
With the nearest neighbours (Å) after each atom.
Sites, in units of the cell vectors:
1 Cs 0.0000 0.0000 0.0000  6 Fe 2.46
2 Tl 0.5000 0.5000 0.5000  12 Fe 3.48
3 Fe 0.0000 0.5000 0.0000  2 Cs 2.46
4 Fe 0.0000 0.0000 0.5000  2 Cs 2.46
5 Fe 0.5000 0.0000 0.0000  2 Cs 2.46



Entry 3:
The following is a PBE calculation of crystalline LaSm2Ir2 at its relaxed geometry, from Alexandria.

Output
- size of the total moment (μB/atom) = 0.000
- distance to the lowest polymorph of the same formula (meV/atom) = 0
- energy of formation (eV/atom) = -0.667

Cell: 4.4290 5.7728 10.7505 Å, 81.38 90.00 90.00°
With the nearest neighbours (Å) after each atom.
Sites, in units of the cell vectors:
1 La 0.2500 0.5477 0.2109  5 Ir 2.94-3.04
2 La 0.7500 0.4523 0.7891  5 Ir 2.94-3.04
3 Sm 0.2500 0.8856 0.8870  5 Ir 2.88-3.14
4 Sm 0.7500 0.1144 0.1130  5 Ir 2.88-3.14
5 Sm 0.2500 0.2297 0.5331  4 Ir 2.85-3.11
6 Sm 0.7500 0.7703 0.4669  4 Ir 2.85-3.11
7 Ir 0.2500 0.6970 0.6359  5 Sm 2.85-3.11, 2 La 2.99
8 Ir 0.7500 0.3030 0.3641  5 Sm 2.85-3.11, 2 La 2.99
9 Ir 0.2500 0.3403 0.9675  4 Sm 2.88-3.14, 3 La 2.94-3.04, 2 Ir 3.03
10 Ir 0.7500 0.6597 0.0325  4 Sm 2.88-3.14, 3 La 2.94-3.04, 2 Ir 3.03



Entry 4:
The following is a PBE calculation of crystalline IBrOF2 at its relaxed geometry, from Alexandria.

Output
- size of the total moment (μB/atom) = 0.177
- distance to the lowest polymorph of the same formula (meV/atom) = 0
- formation energy without anion corrections (eV/atom) = -0.27

Cell: 4.7096 4.7096 3.9927 Å, 90.00 90.00 90.00°
With the nearest neighbours (Å) after each atom.
Sites, in units of the cell vectors:
1 I 0.0000 0.0000 0.0000  2 O 2.00
2 O 0.0000 0.0000 0.5000  2 I 2.00
3 Br 0.5000 0.5000 0.5000  8 F 3.09, 4 O 3.33
4 F 0.0000 0.5000 0.0000  2 I 2.35
5 F 0.5000 0.0000 0.0000  2 I 2.35



Entry 5:
The following is a PBE calculation of crystalline Sm6TeAs2S3 at its relaxed geometry, from Alexandria.

Output
- size of the total moment (μB/atom) = 0.000
- formation energy without anion corrections (eV/atom) = -1.76

Cell: 4.1431 8.3408 9.2794 Å, 102.62 102.90 90.00°
With the nearest neighbours (Å) after each atom.
Sites, in units of the cell vectors:
1 Sm 0.3236 0.9104 0.6472  3 S 2.82-2.95, 2 As 2.93, 1 Te 3.11
2 Sm 0.6664 0.5838 0.3328  3 S 2.93-2.94, 3 As 2.94-2.95
3 Sm 0.6764 0.0896 0.3528  3 S 2.82-2.95, 2 As 2.93, 1 Te 3.11
4 Sm 0.0002 0.2779 0.0005  3 S 2.78-2.90, 1 As 2.94, 2 Te 3.11
5 Sm 0.9998 0.7221 0.9995  3 S 2.78-2.90, 1 As 2.94, 2 Te 3.11
6 Sm 0.3336 0.4162 0.6672  3 S 2.93-2.94, 3 As 2.94-2.95
7 Te 0.5000 0.0000 0.0000  6 Sm 3.11
8 As 0.8334 0.6676 0.6668  6 Sm 2.93-2.95
9 As 0.1666 0.3324 0.3332  6 Sm 2.93-2.95
10 S 0.5000 0.5000 0.0000  6 Sm 2.78-2.93
11 S 0.8364 0.1668 0.6729  6 Sm 2.82-2.95
12 S 0.1636 0.8332 0.3271  6 Sm 2.82-2.95



Entry 6:
The following is a PBE calculation of crystalline HfZr4Re at its relaxed geometry, from Alexandria.

Output
- size of the total moment (μB/atom) = 0.000
- distance to the lowest polymorph of the same formula (meV/atom) = 0
- energy of formation (eV/atom) = -0.090

Cell: 4.8712 5.7906 5.8379 Å, 62.19 65.34 65.13°
With the nearest neighbours (Å) after each atom.
Sites, in units of the cell vectors:
1 Hf 0.0000 0.5000 0.5000  2 Re 3.00, 8 Zr 3.15-3.34
2 Zr 0.6472 0.0133 0.6922  2 Re 2.92, 6 Zr 2.98-3.25, 1 Hf 3.20
3 Zr 0.3528 0.9867 0.3078  2 Re 2.92, 6 Zr 2.98-3.25, 1 Hf 3.20
4 Zr 0.7039 0.4447 0.1475  1 Re 2.71, 3 Zr 2.84-2.98
5 Zr 0.2961 0.5553 0.8525  1 Re 2.71, 3 Zr 2.84-2.98
6 Re 0.0000 0.0000 0.0000  6 Zr 2.71-2.92, 2 Hf 3.00



Entry 7:
The following is a PBE calculation of crystalline Ce4SbTe2S at its relaxed geometry, from Alexandria.

Output
- size of the total moment (μB/atom) = 0.503
- formation energy without anion corrections (eV/atom) = -1.42

Cell: 8.7707 8.7708 8.8487 Å, 120.29 120.29 90.04°
With the nearest neighbours (Å) after each atom.
Sites, in units of the cell vectors:
1 Ce 0.2339 0.7630 0.9985  1 S 2.92, 2 Sb 3.10, 2 Te 3.11-3.12
2 Ce 0.7370 0.2661 0.5015  1 S 2.92, 2 Sb 3.10, 2 Te 3.11-3.12
3 Ce 0.2630 0.7339 0.4985  1 S 2.92, 2 Sb 3.10, 2 Te 3.11-3.12
4 Ce 0.7661 0.2370 0.0015  1 S 2.92, 2 Sb 3.10, 2 Te 3.11-3.12
5 Ce 0.7511 0.7494 0.9733  2 S 2.93-2.94, 1 Sb 3.10, 3 Te 3.12-3.28
6 Ce 0.7505 0.7489 0.5267  2 S 2.93-2.94, 1 Sb 3.10, 3 Te 3.12-3.28
7 Ce 0.2494 0.2511 0.4733  2 S 2.93-2.94, 1 Sb 3.10, 3 Te 3.12-3.28
8 Ce 0.2489 0.2506 0.0267  2 S 2.93-2.94, 1 Sb 3.10, 3 Te 3.12-3.28
9 Sb 0.0000 0.5000 0.0000  6 Ce 3.10
10 Sb 0.0000 0.5000 0.5000  6 Ce 3.10
11 Te 0.5000 0.0000 0.0000  6 Ce 3.11-3.12
12 Te 0.5000 0.0000 0.5000  6 Ce 3.11-3.12
13 Te 0.0000 0.0000 0.5000  6 Ce 3.27-3.28
14 Te 0.5000 0.5000 0.0000  6 Ce 3.27-3.28
15 S 0.5000 0.5000 0.5000  6 Ce 2.92-2.94
16 S 0.0000 0.0000 0.0000  6 Ce 2.92-2.94



Entry 8:
The following is a PBE calculation of crystalline RbZrNi3 at its relaxed geometry, from Alexandria.

Output
- size of the total moment (μB/atom) = 0.000
- distance to the lowest polymorph of the same formula (meV/atom) = 953
- energy of formation (eV/atom) = 1.913

Cell: 4.6239 4.6239 4.6239 Å, 90.00 90.00 90.00°
With the nearest neighbours (Å) after each atom.
Sites, in units of the cell vectors:
1 Ni 0.0000 0.5000 0.0000  2 Rb 2.31
2 Ni 0.0000 0.0000 0.5000  2 Rb 2.31
3 Ni 0.5000 0.0000 0.0000  2 Rb 2.31
4 Rb 0.0000 0.0000 0.0000  6 Ni 2.31
5 Zr 0.5000 0.5000 0.5000  12 Ni 3.27



Entry 9:
The following is a PBE calculation of crystalline ErBe9Co2 at its relaxed geometry, from Alexandria.

Output
- size of the total moment (μB/atom) = 0.082
- energy of formation (eV/atom) = -0.171

Cell: 4.3657 4.3657 7.4139 Å, 72.88 72.88 60.00°
With the nearest neighbours (Å) after each atom.
Sites, in units of the cell vectors:
1 Er 0.0000 0.0000 0.0000  6 Be 2.52
2 Be 0.6674 0.6674 0.9979  6 Be 2.24-2.30
3 Be 0.3326 0.3326 0.0021  6 Be 2.24-2.30
4 Be 0.5000 0.5000 0.5000  6 Be 2.05
5 Be 0.4062 0.4062 0.2710  6 Be 2.05-2.24
6 Be 0.9167 0.4062 0.2710  6 Be 2.05-2.24
7 Be 0.4062 0.9167 0.2710  6 Be 2.05-2.24
8 Be 0.5938 0.5938 0.7290  6 Be 2.05-2.24
9 Be 0.5938 0.0833 0.7290  6 Be 2.05-2.24
10 Be 0.0833 0.5938 0.7290  6 Be 2.05-2.24
11 Co 0.8564 0.8564 0.4308  12 Be 2.42-2.57, 3 Co 2.70
12 Co 0.1436 0.1436 0.5692  12 Be 2.42-2.57, 3 Co 2.70



Entry 10:
The following is a PBE calculation of crystalline MgCuPd at its relaxed geometry, from Alexandria.

Output
- size of the total moment (μB/atom) = 0.000
- distance to the lowest polymorph of the same formula (meV/atom) = 42
- energy of formation (eV/atom) = -0.356

Cell: 3.2121 3.2121 4.9426 Å, 108.96 108.96 90.00°
With the nearest neighbours (Å) after each atom.
Sites, in units of the cell vectors:
1 Mg 0.6168 0.6168 0.2336  5 Cu 2.72-2.89, 5 Pd 2.72-2.89
2 Pd 0.9458 0.9458 0.8915  4 Cu 2.66, 5 Mg 2.72-2.89
3 Cu 0.2874 0.2874 0.5748  4 Pd 2.66, 5 Mg 2.72-2.89



Entry 11:
The following is a PBE calculation of crystalline ScZn2Ga at its relaxed geometry, from Alexandria.

Output
- size of the total moment (μB/atom) = 0.099
- energy of formation (eV/atom) = -0.191

Cell: 3.2563 3.2563 6.6262 Å, 90.00 90.00 90.00°
With the nearest neighbours (Å) after each atom.
Sites, in units of the cell vectors:
1 Sc 0.5000 0.5000 0.5000  8 Zn 2.93, 4 Sc 3.26
2 Zn 0.0000 0.0000 0.7730  4 Ga 2.75, 4 Sc 2.93, 1 Zn 3.01
3 Zn 0.0000 0.0000 0.2270  4 Ga 2.75, 4 Sc 2.93, 1 Zn 3.01
4 Ga 0.5000 0.5000 0.0000  8 Zn 2.75



Entry 12:
The following is a PBE calculation of crystalline AcY2OsN4 at its relaxed geometry, from Alexandria.

Output
- size of the total moment (μB/atom) = 0.000
- formation energy without anion corrections (eV/atom) = -0.92

Cell: 3.5219 6.2389 11.8202 Å, 90.00 90.00 106.39°
With the nearest neighbours (Å) after each atom.
Sites, in units of the cell vectors:
1 Ac 0.1029 0.2058 0.7500  6 N 2.77-2.82
2 Ac 0.8971 0.7942 0.2500  6 N 2.77-2.82
3 Y 0.3685 0.7370 0.5419  6 N 2.30-2.55
4 Y 0.6315 0.2630 0.0419  6 N 2.30-2.55
5 Y 0.6315 0.2630 0.4581  6 N 2.30-2.55
6 Y 0.3685 0.7370 0.9581  6 N 2.30-2.55
7 Os 0.8428 0.6855 0.7500  4 N 1.98-2.01
8 Os 0.1572 0.3145 0.2500  4 N 1.98-2.01
9 N 0.2635 0.5270 0.1211  1 Os 1.98
10 N 0.7365 0.4730 0.6211  1 Os 1.98
11 N 0.7365 0.4730 0.8789  1 Os 1.98
12 N 0.2635 0.5270 0.3789  1 Os 1.98
13 N 0.0000 0.0000 0.5000  4 Y 2.41
14 N 0.0000 0.0000 0.0000  4 Y 2.41
15 N 0.4243 0.8486 0.7500  2 Os 2.01
16 N 0.5757 0.1514 0.2500  2 Os 2.01